This record from the Alexandria database describes a relaxed structure of In6PdRh5. The functional is GGA-PBE.

Calculated total energy (eV for the cell shown): -63.43
Crystal system: orthorhombic

abc: 4.6511 6.3239 7.3577
angles: 90.00 71.57 90.00
Last column: nearest neighbours and their distance in Å.
Element x y z (fractional)
Rh (0.3351, 0.5000, 0.3298)  8 In 2.79-2.81
In (0.5000, 0.2515, 0.0000)  6 Rh 2.79-2.81, 2 Pd 2.82
Rh (0.6653, 0.0000, 0.6694)  8 In 2.80-2.81
Rh (0.3347, 0.0000, 0.3306)  8 In 2.80-2.81
In (0.1683, 0.2506, 0.6635)  7 Rh 2.81-2.83, 1 Pd 2.83
Rh (0.6649, 0.5000, 0.6702)  8 In 2.79-2.81
In (0.8317, 0.7494, 0.3365)  7 Rh 2.81-2.83, 1 Pd 2.83
In (0.1682, 0.7494, 0.6635)  7 Rh 2.81-2.83, 1 Pd 2.83
In (0.5000, 0.7485, 0.0000)  6 Rh 2.79-2.81, 2 Pd 2.82
Rh (0.0000, 0.5000, 0.0000)  8 In 2.81-2.83
Pd (0.0000, 0.0000, 0.0000)  8 In 2.82-2.83
In (0.8318, 0.2506, 0.3365)  7 Rh 2.81-2.83, 1 Pd 2.83

---

This record from the Alexandria database describes a relaxed structure of In2PdRh. The functional is GGA-PBE.

Calculated total energy (eV for the cell shown): -35.80
Crystal system: tetragonal

abc: 4.2385 4.2385 9.5154
angles: 77.13 77.13 90.00
Last column: nearest neighbours and their distance in Å.
Element x y z (fractional)
In (0.6214, 0.1250, 0.2500)  2 Rh 2.70, 2 Pd 2.72, 4 In 2.98-3.02
Rh (0.2500, 0.7500, 0.5000)  4 In 2.70, 4 Pd 3.00
Rh (0.5000, 0.5000, 0.0000)  4 In 2.70, 4 Pd 3.00
In (0.3750, 0.3786, 0.7500)  2 Rh 2.70, 2 Pd 2.72, 4 In 2.98-3.02
In (0.1286, 0.6250, 0.2500)  2 Rh 2.70, 2 Pd 2.72, 4 In 2.98-3.02
In (0.8750, 0.8714, 0.7500)  2 Rh 2.70, 2 Pd 2.72, 4 In 2.98-3.02
Pd (0.7500, 0.2500, 0.5000)  4 In 2.72, 4 Rh 3.00
Pd (0.0000, 0.0000, 0.0000)  4 In 2.72, 4 Rh 3.00

---

This record from the Alexandria database describes a relaxed structure of InPd14Rh. The functional is GGA-PBE.

Calculated total energy (eV for the cell shown): -83.93
Crystal system: orthorhombic

abc: 5.5845 5.5845 9.1798
angles: 90.00 90.00 119.59
Last column: nearest neighbours and their distance in Å.
Element x y z (fractional)
Pd (0.3761, 0.6239, 0.7486)  11 Pd 2.78-2.83, 1 Rh 2.79
In (0.0431, 0.9569, 0.5000)  10 Pd 2.78-2.82, 2 Rh 2.81
Pd (0.7058, 0.7934, 0.0000)  12 Pd 2.79-2.82
Rh (0.5419, 0.4581, 0.5000)  10 Pd 2.77-2.81, 2 In 2.81
Pd (0.8749, 0.1251, 0.7518)  11 Pd 2.79-2.81, 1 In 2.82
Pd (0.5440, 0.9560, 0.5000)  2 Rh 2.77-2.81, 2 In 2.78-2.80, 8 Pd 2.79-2.81
Pd (0.8733, 0.6233, 0.2508)  10 Pd 2.78-2.83, 1 Rh 2.80, 1 In 2.80
Pd (0.2066, 0.2942, 0.0000)  12 Pd 2.79-2.82
Pd (0.3761, 0.6239, 0.2514)  11 Pd 2.78-2.83, 1 Rh 2.79
Pd (0.3767, 0.1267, 0.7492)  10 Pd 2.78-2.83, 1 Rh 2.80, 1 In 2.80
Pd (0.3767, 0.1267, 0.2508)  10 Pd 2.78-2.83, 1 Rh 2.80, 1 In 2.80
Pd (0.7060, 0.2940, 0.0000)  12 Pd 2.79-2.81
Pd (0.2066, 0.7934, 0.0000)  12 Pd 2.79-2.83
Pd (0.8733, 0.6233, 0.7492)  10 Pd 2.78-2.83, 1 Rh 2.80, 1 In 2.80
Pd (0.8749, 0.1251, 0.2482)  11 Pd 2.79-2.81, 1 In 2.82
Pd (0.0440, 0.4560, 0.5000)  2 Rh 2.77-2.81, 2 In 2.78-2.80, 8 Pd 2.79-2.81

---

This record from the Alexandria database describes a relaxed structure of In2PdRh. The functional is GGA-PBE.

Calculated total energy (eV for the cell shown): -16.89
Crystal system: orthorhombic

abc: 6.0606 6.0606 6.0606
angles: 58.38 151.58 130.15
Last column: nearest neighbours and their distance in Å.
Element x y z (fractional)
In (0.0000, 0.7516, 0.7516)  1 Rh 2.63, 1 Pd 2.66
Rh (0.0000, 0.0000, 0.0000)  2 In 2.63
In (0.0000, 0.2484, 0.2484)  1 Rh 2.63, 1 Pd 2.66
Pd (0.0000, 0.5000, 0.5000)  2 In 2.66, 4 Rh 2.96, 2 Pd 2.98

---

This record from the Alexandria database describes a relaxed structure of InPdRh2. The functional is GGA-PBE.

Calculated total energy (eV for the cell shown): -43.88
Crystal system: tetragonal

abc: 3.8163 3.8163 9.9493
angles: 78.94 78.94 90.00
Last column: nearest neighbours and their distance in Å.
Element x y z (fractional)
Pd (0.5000, 0.5000, 0.0000)  4 In 2.70, 4 Rh 2.72
Rh (0.1449, 0.6250, 0.2500)  4 Rh 2.59-2.81, 2 Pd 2.72, 2 In 2.78
In (0.0000, 0.0000, 0.0000)  4 Pd 2.70, 4 Rh 2.78
In (0.7500, 0.2500, 0.5000)  4 Pd 2.70, 4 Rh 2.78
Rh (0.3750, 0.3949, 0.7500)  4 Rh 2.59-2.81, 2 Pd 2.72, 2 In 2.78
Pd (0.2500, 0.7500, 0.5000)  4 In 2.70, 4 Rh 2.72
Rh (0.6051, 0.1250, 0.2500)  4 Rh 2.59-2.81, 2 Pd 2.72, 2 In 2.78
Rh (0.8750, 0.8551, 0.7500)  4 Rh 2.59-2.81, 2 Pd 2.72, 2 In 2.78

---

This record from the Alexandria database describes a relaxed structure of In5Pd4Rh. The functional is GGA-PBE.

Calculated total energy (eV for the cell shown): -46.53
Crystal system: tetragonal

abc: 3.2778 3.2778 16.5001
angles: 90.00 90.00 90.00
Last column: nearest neighbours and their distance in Å.
Element x y z (fractional)
Pd (0.0000, 0.0000, 0.1974)  8 In 2.84-2.86
Rh (0.0000, 0.0000, 0.0000)  8 In 2.82
Pd (0.0000, 0.0000, 0.3995)  8 In 2.85
In (0.5000, 0.5000, 0.2991)  8 Pd 2.85-2.86
In (0.5000, 0.5000, 0.7009)  8 Pd 2.85-2.86
In (0.5000, 0.5000, 0.0976)  4 Rh 2.82, 4 Pd 2.84
Pd (0.0000, 0.0000, 0.6005)  8 In 2.85
In (0.5000, 0.5000, 0.9024)  4 Rh 2.82, 4 Pd 2.84
Pd (0.0000, 0.0000, 0.8026)  8 In 2.84-2.86
In (0.5000, 0.5000, 0.5000)  8 Pd 2.85

---

This record from the Alexandria database describes a relaxed structure of InPdRh3. The functional is GGA-PBE.

Calculated total energy (eV for the cell shown): -23.92
Crystal system: cubic

abc: 4.7605 4.7605 4.7605
angles: 90.00 90.00 90.00
Last column: nearest neighbours and their distance in Å.
Element x y z (fractional)
Rh (0.0000, 0.0000, 0.5000)  2 Pd 2.38
In (0.5000, 0.5000, 0.5000)  12 Rh 3.37
Pd (0.0000, 0.0000, 0.0000)  6 Rh 2.38
Rh (0.5000, 0.0000, 0.0000)  2 Pd 2.38
Rh (0.0000, 0.5000, 0.0000)  2 Pd 2.38

---

This record from the Alexandria database describes a relaxed structure of InPd2Rh. The functional is GGA-PBE.

Calculated total energy (eV for the cell shown): -40.71
Crystal system: tetragonal

abc: 3.8395 3.8395 9.9431
angles: 78.87 78.87 90.00
Last column: nearest neighbours and their distance in Å.
Element x y z (fractional)
Pd (0.1316, 0.6250, 0.2500)  4 Pd 2.68-2.75, 2 Rh 2.74, 2 In 2.76
Pd (0.6184, 0.1250, 0.2500)  4 Pd 2.68-2.75, 2 Rh 2.74, 2 In 2.76
Rh (0.2500, 0.7500, 0.5000)  4 In 2.71, 4 Pd 2.74
In (0.7500, 0.2500, 0.5000)  4 Rh 2.71, 4 Pd 2.76
Pd (0.3750, 0.3816, 0.7500)  4 Pd 2.68-2.75, 2 Rh 2.74, 2 In 2.76
Pd (0.8750, 0.8684, 0.7500)  4 Pd 2.68-2.75, 2 Rh 2.74, 2 In 2.76
Rh (0.5000, 0.5000, 0.0000)  4 In 2.71, 4 Pd 2.74
In (0.0000, 0.0000, 0.0000)  4 Rh 2.71, 4 Pd 2.76

---

This record from the Alexandria database describes a relaxed structure of In3Pd2Rh. The functional is GGA-PBE.

Calculated total energy (eV for the cell shown): -28.71
Crystal system: tetragonal

abc: 3.2548 3.2548 9.9745
angles: 90.00 90.00 90.00
Last column: nearest neighbours and their distance in Å.
Element x y z (fractional)
Rh (0.5000, 0.5000, 0.5000)  8 In 2.81
In (0.0000, 0.0000, 0.3377)  4 Rh 2.81, 4 Pd 2.84
Pd (0.5000, 0.5000, 0.1714)  8 In 2.84-2.87
In (0.0000, 0.0000, 0.6623)  4 Rh 2.81, 4 Pd 2.84
In (0.0000, 0.0000, 0.0000)  8 Pd 2.87
Pd (0.5000, 0.5000, 0.8286)  8 In 2.84-2.87

---

This record from the Alexandria database describes a relaxed structure of In2Pd2Rh. The functional is GGA-PBE.

Calculated total energy (eV for the cell shown): -48.72
Crystal system: tetragonal

abc: 7.4502 7.4502 3.2093
angles: 90.00 90.00 90.00
Last column: nearest neighbours and their distance in Å.
Element x y z (fractional)
Rh (0.5000, 0.5000, 0.0000)  4 Pd 2.92, 8 In 3.19, 2 Rh 3.21
Pd (0.3703, 0.8703, 0.0000)  6 In 2.64-2.78, 1 Pd 2.73, 2 Rh 2.92
In (0.6714, 0.8286, 0.5000)  6 Pd 2.64-2.78
Pd (0.8703, 0.6297, 0.0000)  6 In 2.64-2.78, 1 Pd 2.73, 2 Rh 2.92
Pd (0.6297, 0.1297, 0.0000)  6 In 2.64-2.78, 1 Pd 2.73, 2 Rh 2.92
Rh (0.0000, 0.0000, 0.0000)  4 Pd 2.92, 8 In 3.19, 2 Rh 3.21
In (0.1714, 0.6714, 0.5000)  6 Pd 2.64-2.78
In (0.3286, 0.1714, 0.5000)  6 Pd 2.64-2.78
In (0.8286, 0.3286, 0.5000)  6 Pd 2.64-2.78
Pd (0.1297, 0.3703, 0.0000)  6 In 2.64-2.78, 1 Pd 2.73, 2 Rh 2.92

---

Result set for formation energy from the elements: -0.4208, 0.0302, -0.0712, 0.2837, 0.1732, -0.4711, 1.2124, 0.0300, -0.4591, -0.2292 eV per atom, one per record in the order listed.
Result set for magnetic moment: 0.00, 0.00, 0.46, 0.00, 0.87, 0.00, 2.47, 0.00, 0.00, 0.00 μB/f.u., one per record in the order listed.